Here is an optimized crystal structure of TbMnCr2O8 from the Alexandria database. Energies are from PBE+U.

The value obtained for the density of states at the Fermi level is 0.027 states/eV/atom. The calculation puts the uncorrected energy at -7.39 eV/atom.

The structure in CIF format:
```
data_TbMnCr2O8
_chemical_formula_sum 'Tb2 Mn2 Cr4 O16'
_cell_length_a 7.097
_cell_length_b 7.097
_cell_length_c 6.285
_cell_angle_alpha 90.00
_cell_angle_beta 90.00
_cell_angle_gamma 90.00
_space_group_name_H-M_alt 'I -4 m 2'
_space_group_IT_number 119
_space_group_name_Hall 'I -4 -2'
loop_
_atom_site_label
_atom_site_fract_x
_atom_site_fract_y
_atom_site_fract_z
Tb1 0.000 0.000 0.000
Mn1 0.000 0.500 0.250
Cr1 0.000 0.000 0.500
Cr2 0.000 0.500 0.750
O1 0.000 0.189 0.325
O2 0.000 0.315 0.912
```